Run i
This record from Alexandria via LeMat-Bulk describes a relaxed Pm3Pr3Cd crystal. The functional is PBE.

Cell lengths 8.690, 8.690, 8.950 Å; angles 60.95, 60.95, 60.00 degrees
Atoms (fractional coordinates):
Cd 0.333 0.333 0.002
Pr 0.281 0.783 0.832
Pm 0.570 0.046 0.642
Pr 0.217 0.896 0.168
Pr 0.719 0.217 0.168
Pm 0.430 0.954 0.358
Pr 0.896 0.719 0.168
Pr 0.104 0.281 0.832
Cd 0.667 0.667 0.998
Pm 0.258 0.430 0.358
Pm 0.954 0.258 0.358
Pm 0.742 0.570 0.642
Pm 0.046 0.742 0.642
Pr 0.783 0.104 0.832

Computed properties:
Space group: R-3, No. 148



Run ii
This record from Alexandria via LeMat-Bulk describes a relaxed Pm3Pr3Cd crystal. The functional is PBE.

Cell lengths 5.737, 9.656, 9.659 Å; angles 120.00, 90.00, 90.00 degrees
Atoms (fractional coordinates):
Pr 0.750 0.892 0.523
Pm 0.250 0.818 0.061
Cd 0.250 0.667 0.333
Pm 0.250 0.939 0.757
Pm 0.750 0.061 0.243
Pm 0.250 0.243 0.182
Pr 0.250 0.108 0.477
Cd 0.750 0.333 0.667
Pr 0.750 0.477 0.369
Pm 0.750 0.182 0.939
Pr 0.250 0.523 0.631
Pr 0.750 0.631 0.108
Pr 0.250 0.369 0.892
Pm 0.750 0.757 0.818

Computed properties:
Space group: P6_3/m, No. 176



Which structure wins on stability? run ii wins.



Run i
This record from Alexandria via LeMat-Bulk describes a relaxed PmPr8Cd2 crystal. The functional is PBE.

Cell lengths 6.520, 9.513, 9.513 Å; angles 43.44, 68.94, 68.94 degrees
Atoms (fractional coordinates):
Cd 0.509 0.155 0.155
Pr 0.086 0.771 0.771
Pr 0.738 0.204 0.648
Pr 0.914 0.229 0.229
Pr 0.262 0.796 0.352
Pm 0.000 0.000 0.000
Pr 0.692 0.639 0.639
Cd 0.491 0.845 0.845
Pr 0.262 0.352 0.796
Pr 0.308 0.361 0.361
Pr 0.738 0.648 0.204

Computed properties:
Space group: C2/m, No. 12



Run ii
This record from Alexandria via LeMat-Bulk describes a relaxed PmPr8Cd2 crystal. The functional is PBE.

Cell lengths 5.477, 8.601, 9.044 Å; angles 113.06, 107.63, 90.00 degrees
Atoms (fractional coordinates):
Cd 0.221 0.631 0.443
Pr 0.603 0.468 0.206
Pr 0.150 0.208 0.300
Pr 0.850 0.792 0.700
Pr 0.052 0.739 0.104
Pr 0.948 0.261 0.896
Pm 0.500 0.000 0.000
Pr 0.688 0.956 0.376
Pr 0.397 0.532 0.794
Cd 0.779 0.369 0.557
Pr 0.312 0.044 0.624

Computed properties:
Space group: C2/m, No. 12



Which structure wins on stability? run ii wins.